Y6Bi2SbSe3 | PBE-GGA | relaxed

Cell lengths 4.270, 8.545, 9.565 Å; angles 103.10, 102.90, 90.00 degrees
Atoms (fractional coordinates):
Y 0.331 0.929 0.663
Y 0.661 0.596 0.323
Y 0.669 0.071 0.337
Y 0.995 0.254 0.991
Y 0.005 0.746 0.009
Y 0.339 0.404 0.677
Bi 0.833 0.665 0.666
Bi 0.167 0.335 0.334
Sb 0.500 0.000 0.000
Se 0.500 0.500 0.000
Se 0.833 0.166 0.665
Se 0.167 0.834 0.335

Values from the calculation:
ΔE_f (raw) = -1.3630 eV/atom

=====

Y6Bi3Sb2Se | PBE-GGA | relaxed

Cell lengths 4.390, 8.789, 9.803 Å; angles 102.98, 102.94, 90.00 degrees
Atoms (fractional coordinates):
Y 0.339 0.915 0.677
Y 0.668 0.579 0.336
Y 0.661 0.085 0.323
Y 0.000 0.242 0.001
Y 0.000 0.758 0.999
Y 0.332 0.421 0.664
Bi 0.500 0.500 0.000
Bi 0.832 0.165 0.664
Bi 0.168 0.835 0.336
Sb 0.835 0.669 0.669
Sb 0.165 0.331 0.331
Se 0.500 0.000 0.000

Values from the calculation:
ΔE_f (raw) = -1.1314 eV/atom

=====

YBiSbSe2 | PBE-GGA | relaxed

Cell lengths 5.406, 5.723, 5.406 Å; angles 90.00, 90.00, 90.00 degrees
Atoms (fractional coordinates):
Y 0.500 0.500 0.500
Sb 0.000 0.500 0.000
Bi 0.000 0.000 0.000
Se 0.000 0.000 0.500
Se 0.500 0.000 0.000

Values from the calculation:
ΔE_f (raw) = 0.0949 eV/atom